1.
Entry from the Alexandria database: crystalline CaTl2Zn at its relaxed geometry (GGA-PBE).

Cell lengths 3.9275, 3.9280, 6.9855 Å; angles 90.00, 90.00, 90.00 degrees
Last column: nearest neighbours and their distance in Å.
Atoms (fractional coordinates):
Tl (0.0000, 0.0000, 0.0063)  4 Tl 3.34, 2 Zn 3.35-3.63, 4 Ca 3.36
Ca (0.5000, 0.5000, 0.7353)  5 Tl 3.23-3.36, 4 Zn 3.28
Tl (0.5000, 0.5000, 0.2723)  4 Zn 3.15, 1 Ca 3.23, 4 Tl 3.34
Zn (0.0000, 0.0000, 0.4861)  5 Tl 3.15-3.35, 4 Ca 3.28

Output
Energy of formation from the pure elements = -0.12 eV/atom
Calculated volume = 107.8 Å³ per cell
DOS at the Fermi energy = 0.54 states/eV/atom
SG = P4mm (99)
Mass density = 7.92 Mg/m³

2.
Entry from the Alexandria database: crystalline Tb5CeGa6 at its relaxed geometry (GGA-PBE).

Cell lengths 5.0868, 7.1688, 8.8227 Å; angles 113.97, 106.76, 90.00 degrees
Last column: nearest neighbours and their distance in Å.
Atoms (fractional coordinates):
Ga (0.8306, 0.0864, 0.6613)  7 Tb 3.08-3.14, 1 Ce 3.17
Tb (0.3313, 0.3313, 0.6626)  8 Ga 3.08-3.10
Tb (0.6625, 0.1625, 0.3250)  8 Ga 3.11-3.14
Ga (0.1693, 0.4251, 0.3387)  7 Tb 3.08-3.14, 1 Ce 3.17
Ga (0.1694, 0.9136, 0.3387)  7 Tb 3.08-3.14, 1 Ce 3.17
Tb (0.6687, 0.6687, 0.3374)  8 Ga 3.08-3.10
Tb (0.3375, 0.8375, 0.6750)  8 Ga 3.11-3.14
Ga (0.8307, 0.5749, 0.6613)  7 Tb 3.08-3.14, 1 Ce 3.17
Ce (0.0000, 0.0000, 0.0000)  8 Ga 3.16-3.17
Ga (0.5000, 0.7385, 0.0000)  6 Tb 3.06-3.11, 2 Ce 3.16, 1 Ga 3.42
Ga (0.5000, 0.2615, 0.0000)  6 Tb 3.06-3.11, 2 Ce 3.16, 1 Ga 3.42
Tb (0.0000, 0.5000, 0.0000)  8 Ga 3.06-3.13

Output
Energy of formation from the pure elements = -0.56 eV/atom
Calculated volume = 279.0 Å³ per cell
DOS at the Fermi energy = 0.75 states/eV/atom
SG = Immm (71)
Mass density = 8.05 Mg/m³

3.
Entry from the Alexandria database: crystalline Lu2TlAs at its relaxed geometry (GGA-PBE).

Cell lengths 3.9020, 3.9020, 8.1636 Å; angles 76.17, 76.17, 60.00 degrees
Last column: nearest neighbours and their distance in Å.
Atoms (fractional coordinates):
Lu (0.7370, 0.7370, 0.7890)  3 As 2.80
Tl (0.5000, 0.5000, 0.5000)  6 Lu 3.20
As (0.0000, 0.0000, 0.0000)  6 Lu 2.80
Lu (0.2630, 0.2630, 0.2110)  3 As 2.80

Output
Energy of formation from the pure elements = -0.84 eV/atom
Calculated volume = 103.5 Å³ per cell
DOS at the Fermi energy = 0.44 states/eV/atom
SG = R-3m (166)
Mass density = 10.10 Mg/m³

4.
Entry from the Alexandria database: crystalline LiRuPb2O5 at its relaxed geometry (GGA-PBE).

Cell lengths 3.2758, 6.9765, 11.1693 Å; angles 90.00, 90.00, 103.58 degrees
Last column: nearest neighbours and their distance in Å.
Atoms (fractional coordinates):
O (0.3445, 0.6891, 0.0002)  1 Ru 1.93
Pb (0.0748, 0.1495, 0.6630)  3 O 2.32-2.39
Pb (0.1449, 0.2898, 0.3175)  7 O 2.48-2.75
O (0.4901, 0.9802, 0.7799)  1 Li 1.94
Ru (0.2047, 0.4094, 0.0305)  6 O 1.93-2.06
Li (0.5506, 0.1012, 0.9376)  4 O 1.94-1.97
O (0.5099, 0.0198, 0.2799)  1 Li 1.94
Pb (0.8551, 0.7102, 0.8175)  7 O 2.48-2.75
Ru (0.7953, 0.5906, 0.5305)  6 O 1.93-2.06
O (0.3072, 0.6144, 0.4194)  1 Li 1.94, 2 Ru 2.06
O (0.7188, 0.4377, 0.1416)  2 Ru 2.06
O (0.6555, 0.3109, 0.5002)  1 Ru 1.93
Pb (0.9252, 0.8504, 0.1630)  3 O 2.32-2.39
Li (0.4494, 0.8988, 0.4376)  4 O 1.94-1.97
O (0.2812, 0.5623, 0.6416)  2 Ru 2.06
O (0.0593, 0.1187, 0.0343)  2 Li 1.97, 1 Ru 1.97
O (0.9407, 0.8813, 0.5343)  2 Li 1.97, 1 Ru 1.97
O (0.6928, 0.3856, 0.9194)  1 Li 1.94, 2 Ru 2.06

Output
Calculated volume = 248.1 Å³ per cell
DOS at the Fermi energy = 0.43 states/eV/atom
SG = Cmc2_1 (36)
Formation energy (no corrections) = -1.11 eV per atom
Mass density = 8.06 Mg/m³

5.
Entry from the Alexandria database: crystalline K12BrO3F4 at its relaxed geometry (GGA-PBE).

Cell lengths 8.7615, 8.7615, 8.7615 Å; angles 109.47, 109.47, 109.47 degrees
Last column: nearest neighbours and their distance in Å.
Atoms (fractional coordinates):
K (0.5022, 0.3215, 0.1806)  1 O 2.57, 2 F 2.72
F (0.5000, 0.0000, 0.0000)  6 K 2.72
O (0.0000, 0.5000, 0.5000)  4 K 2.57
K (0.6785, 0.1806, 0.8591)  1 O 2.57, 2 F 2.72
O (0.5000, 0.5000, 0.0000)  4 K 2.57
K (0.3215, 0.8194, 0.1409)  1 O 2.57, 2 F 2.72
K (0.3215, 0.1806, 0.5022)  1 O 2.57, 2 F 2.72
F (0.0000, 0.5000, 0.0000)  6 K 2.72
O (0.5000, 0.0000, 0.5000)  4 K 2.57
K (0.4978, 0.6785, 0.8194)  1 O 2.57, 2 F 2.72
K (0.1806, 0.5022, 0.3215)  1 O 2.57, 2 F 2.72
Br (0.0000, 0.0000, 0.0000)  12 K 3.73
K (0.6785, 0.8194, 0.4978)  1 O 2.57, 2 F 2.72
F (0.0000, 0.0000, 0.5000)  6 K 2.72
K (0.1409, 0.3215, 0.8194)  1 O 2.57, 2 F 2.72
K (0.8194, 0.1409, 0.3215)  1 O 2.57, 2 F 2.72
F (0.5000, 0.5000, 0.5000)  6 K 2.72
K (0.8194, 0.4978, 0.6785)  1 O 2.57, 2 F 2.72
K (0.1806, 0.8591, 0.6785)  1 O 2.57, 2 F 2.72
K (0.8591, 0.6785, 0.1806)  1 O 2.57, 2 F 2.72

Output
Calculated volume = 517.7 Å³ per cell
DOS at the Fermi energy = 0.13 states/eV/atom
SG = Im-3 (204)
Formation energy (no corrections) = -1.64 eV per atom
Mass density = 2.16 Mg/m³

6.
Entry from the Alexandria database: crystalline LaPr4Dy2Mg at its relaxed geometry (GGA-PBE).

Cell lengths 5.9450, 9.6476, 5.9394 Å; angles 52.03, 90.00, 90.00 degrees
Last column: nearest neighbours and their distance in Å.
Atoms (fractional coordinates):
Pr (0.0000, 0.7452, 0.7554)  2 Mg 3.50-3.51, 2 La 3.51, 4 Dy 3.54-3.55, 2 Pr 3.73-3.88
Dy (0.5000, 0.0000, 0.5000)  8 Pr 3.55, 2 La 3.80
Pr (0.5000, 0.2552, 0.7449)  2 La 3.50-3.51, 2 Mg 3.51, 4 Dy 3.55, 2 Pr 3.72-3.88
Pr (0.0000, 0.2548, 0.2446)  2 Mg 3.50-3.51, 2 La 3.51, 4 Dy 3.54-3.55, 2 Pr 3.73-3.88
La (0.5000, 0.5000, 0.0000)  8 Pr 3.50-3.51, 2 Dy 3.80
Pr (0.5000, 0.7448, 0.2551)  2 La 3.50-3.51, 2 Mg 3.51, 4 Dy 3.55, 2 Pr 3.72-3.88
Dy (0.0000, 0.0000, 0.0000)  8 Pr 3.54-3.55, 2 Mg 3.80
Mg (0.0000, 0.5000, 0.5000)  8 Pr 3.50-3.51, 2 Dy 3.80

Output
Energy of formation from the pure elements = 0.06 eV/atom
Calculated volume = 268.5 Å³ per cell
DOS at the Fermi energy = 1.55 states/eV/atom
SG = P4/mmm (123)
Mass density = 6.50 Mg/m³

7.
Entry from the Alexandria database: crystalline MgScHg at its relaxed geometry (GGA-PBE).

Cell lengths 5.2998, 5.2998, 5.2998 Å; angles 144.18, 130.21, 62.84 degrees
Last column: nearest neighbours and their distance in Å.
Atoms (fractional coordinates):
Sc (0.6663, 0.6663, 0.0000)  5 Mg 3.00-3.15, 5 Hg 3.01-3.15, 2 Sc 3.26
Mg (0.3343, 0.3343, 0.0000)  5 Sc 3.00-3.15, 5 Hg 3.03-3.14, 2 Mg 3.26
Hg (0.9994, 0.9994, 0.0000)  5 Sc 3.01-3.15, 5 Mg 3.03-3.14, 2 Hg 3.26

Output
Energy of formation from the pure elements = -0.15 eV/atom
Calculated volume = 65.8 Å³ per cell
DOS at the Fermi energy = 1.03 states/eV/atom
SG = Imm2 (44)
Mass density = 6.81 Mg/m³

8.
Entry from the Alexandria database: crystalline LaZnIn at its relaxed geometry (GGA-PBE).

Cell lengths 5.3328, 5.3328, 6.5453 Å; angles 90.00, 90.00, 120.00 degrees
Last column: nearest neighbours and their distance in Å.
Atoms (fractional coordinates):
Zn (0.0000, 0.0000, 0.5000)  2 Zn 3.27, 6 La 3.49, 6 In 3.49
La (0.3333, 0.6667, 0.7500)  5 In 3.08-3.27
Zn (0.0000, 0.0000, 0.0000)  2 Zn 3.27, 6 In 3.49, 6 La 3.49
In (0.3333, 0.6667, 0.2500)  5 La 3.08-3.27
In (0.6667, 0.3333, 0.7500)  5 La 3.08-3.27
La (0.6667, 0.3333, 0.2500)  5 In 3.08-3.27

Output
Energy of formation from the pure elements = -0.26 eV/atom
Calculated volume = 161.2 Å³ per cell
DOS at the Fermi energy = 0.37 states/eV/atom
SG = P6_3/mmc (194)
Mass density = 6.57 Mg/m³